Computed, not measured: an optimized crystal structure of Ba2InBi2 at the PBEsol level of DFT.

energy relative to the elements: -690 meV per atom

Unit cell a=8.5734 b=8.5734 c=5.0735 alpha=90.00 beta=90.00 gamma=90.00
With the nearest neighbours (Å) after each atom.
Positions (direct):
Ba 0.1766 0.3234 0.0000  6 Bi 3.49-3.65
Ba 0.3234 0.8234 0.0000  6 Bi 3.49-3.65
Ba 0.6766 0.1766 0.0000  6 Bi 3.49-3.65
Ba 0.8234 0.6766 0.0000  6 Bi 3.49-3.65
In 0.0000 0.0000 0.5000  4 Bi 3.39
In 0.5000 0.5000 0.5000  4 Bi 3.39
Bi 0.1253 0.6253 0.5000  1 Bi 3.04, 2 In 3.39
Bi 0.3747 0.1253 0.5000  1 Bi 3.04, 2 In 3.39
Bi 0.6253 0.8747 0.5000  1 Bi 3.04, 2 In 3.39
Bi 0.8747 0.3747 0.5000  1 Bi 3.04, 2 In 3.39

=====

Computed, not measured: an optimized crystal structure of As2P2S at the PBEsol level of DFT.

raw formation energy: 0.39 eV per atom

Unit cell a=7.3075 b=7.3075 c=3.5475 alpha=90.00 beta=90.00 gamma=90.00
With the nearest neighbours (Å) after each atom.
Positions (direct):
As 0.2391 0.2609 0.0000  2 P 2.36, 2 S 2.59
As 0.2609 0.7609 0.0000  2 P 2.36, 2 S 2.59
As 0.7391 0.2391 0.0000  2 P 2.36, 2 S 2.59
As 0.7609 0.7391 0.0000  2 P 2.36, 2 S 2.59
P 0.1095 0.6095 0.5000  1 P 2.26, 2 As 2.36
P 0.3905 0.1095 0.5000  1 P 2.26, 2 As 2.36
P 0.6095 0.8905 0.5000  1 P 2.26, 2 As 2.36
P 0.8905 0.3905 0.5000  1 P 2.26, 2 As 2.36
S 0.0000 0.0000 0.0000  4 As 2.59
S 0.5000 0.5000 0.0000  4 As 2.59

=====

Computed, not measured: an optimized crystal structure of MgZnP2 at the PBEsol level of DFT.

energy relative to the lowest polymorph listed for this composition: 0 meV per atom
energy relative to the elements: 58 meV per atom

Unit cell a=4.1614 b=4.1614 c=3.6076 alpha=90.00 beta=90.00 gamma=90.00
With the nearest neighbours (Å) after each atom.
Positions (direct):
Mg 0.0000 0.0000 0.0000  8 P 2.75, 4 Zn 2.94
Zn 0.5000 0.5000 0.0000  8 P 2.75, 4 Mg 2.94
P 0.0000 0.5000 0.5000  4 Zn 2.75, 4 Mg 2.75, 4 P 2.94
P 0.5000 0.0000 0.5000  4 Zn 2.75, 4 Mg 2.75, 4 P 2.94

=====

Number 1: spin magnetization 0.000 μB per cell. Number 2: spin magnetization 0.000 μB per cell. Number 3: spin magnetization 0.000 μB per cell.